No. 1
This record from Alexandria via LeMat-Bulk describes a PBEsol-optimized structure of SrIn4Pd. The functional is meta-GGA SCAN.

Output
The calculation puts the formation energy at -546 meV/atom.

a = 8.783 Å, b = 8.783 Å, c = 7.403 Å
α = 90.00°, β = 90.00°, γ = 149.97°
Fractional positions:
Sr (0.125, 0.875, 0.750)
Sr (0.875, 0.125, 0.250)
In (0.068, 0.932, 0.250)
In (0.316, 0.684, 0.551)
In (0.316, 0.684, 0.949)
In (0.500, 0.500, 0.000)
In (0.500, 0.500, 0.500)
In (0.684, 0.316, 0.051)
In (0.684, 0.316, 0.449)
In (0.932, 0.068, 0.750)
Pd (0.224, 0.776, 0.250)
Pd (0.776, 0.224, 0.750)

=====

No. 2
This record from Alexandria via LeMat-Bulk describes a PBEsol-optimized structure of GdSnPd2. The functional is meta-GGA SCAN.

Output
The calculation puts the formation energy at -843 meV/atom.

a = 6.721 Å, b = 6.721 Å, c = 6.721 Å
α = 90.00°, β = 90.00°, γ = 90.00°
Fractional positions:
Gd (0.000, 0.000, 0.000)
Gd (0.000, 0.500, 0.500)
Gd (0.500, 0.000, 0.500)
Gd (0.500, 0.500, 0.000)
Sn (0.000, 0.000, 0.500)
Sn (0.000, 0.500, 0.000)
Sn (0.500, 0.000, 0.000)
Sn (0.500, 0.500, 0.500)
Pd (0.250, 0.250, 0.250)
Pd (0.250, 0.250, 0.750)
Pd (0.250, 0.750, 0.250)
Pd (0.250, 0.750, 0.750)
Pd (0.750, 0.250, 0.250)
Pd (0.750, 0.250, 0.750)
Pd (0.750, 0.750, 0.250)
Pd (0.750, 0.750, 0.750)

=====

No. 3
This record from Alexandria via LeMat-Bulk describes a PBEsol-optimized structure of ReAs3C. The functional is meta-GGA SCAN.

Output
The calculation puts the formation energy at 1809 meV/atom.

a = 4.740 Å, b = 4.740 Å, c = 4.740 Å
α = 90.00°, β = 90.00°, γ = 90.00°
Fractional positions:
Re (0.000, 0.000, 0.000)
As (0.000, 0.000, 0.500)
As (0.000, 0.500, 0.000)
As (0.500, 0.000, 0.000)
C (0.500, 0.500, 0.500)

=====

No. 4
This record from Alexandria via LeMat-Bulk describes a PBEsol-optimized structure of LaTmO3. The functional is meta-GGA SCAN.

Output
Its formation energy without anion corrections is -3.8945 eV/atom.

a = 5.983 Å, b = 8.347 Å, c = 5.790 Å
α = 90.00°, β = 90.00°, γ = 90.00°
Fractional positions:
La (0.050, 0.250, 0.016)
La (0.450, 0.750, 0.516)
La (0.550, 0.250, 0.484)
La (0.950, 0.750, 0.984)
Tm (0.000, 0.000, 0.500)
Tm (0.000, 0.500, 0.500)
Tm (0.500, 0.000, 0.000)
Tm (0.500, 0.500, 0.000)
O (0.054, 0.750, 0.376)
O (0.196, 0.566, 0.805)
O (0.196, 0.934, 0.805)
O (0.304, 0.066, 0.305)
O (0.304, 0.434, 0.305)
O (0.446, 0.250, 0.876)
O (0.554, 0.750, 0.124)
O (0.696, 0.566, 0.695)
O (0.696, 0.934, 0.695)
O (0.804, 0.066, 0.195)
O (0.804, 0.434, 0.195)
O (0.946, 0.250, 0.624)

=====

No. 5
This record from Alexandria via LeMat-Bulk describes a PBEsol-optimized structure of AgIrAu. The functional is meta-GGA SCAN.

Output
The calculation puts the formation energy at 865 meV/atom.

a = 6.104 Å, b = 6.104 Å, c = 6.104 Å
α = 90.00°, β = 90.00°, γ = 90.00°
Fractional positions:
Ag (0.000, 0.000, 0.000)
Ag (0.000, 0.500, 0.500)
Ag (0.500, 0.000, 0.500)
Ag (0.500, 0.500, 0.000)
Ir (0.250, 0.250, 0.750)
Ir (0.250, 0.750, 0.250)
Ir (0.750, 0.250, 0.250)
Ir (0.750, 0.750, 0.750)
Au (0.000, 0.000, 0.500)
Au (0.000, 0.500, 0.000)
Au (0.500, 0.000, 0.000)
Au (0.500, 0.500, 0.500)

=====

No. 6
This record from Alexandria via LeMat-Bulk describes a PBEsol-optimized structure of Tl3Cd5. The functional is meta-GGA SCAN.

Output
The calculation puts the formation energy at 118 meV/atom.

a = 9.232 Å, b = 9.232 Å, c = 5.403 Å
α = 90.00°, β = 90.00°, γ = 120.00°
Fractional positions:
Tl (0.000, 0.390, 0.250)
Tl (0.000, 0.610, 0.750)
Tl (0.390, 0.000, 0.250)
Tl (0.390, 0.390, 0.750)
Tl (0.610, 0.000, 0.750)
Tl (0.610, 0.610, 0.250)
Cd (0.000, 0.198, 0.750)
Cd (0.000, 0.802, 0.250)
Cd (0.198, 0.000, 0.750)
Cd (0.198, 0.198, 0.250)
Cd (0.333, 0.667, 0.000)
Cd (0.333, 0.667, 0.500)
Cd (0.667, 0.333, 0.000)
Cd (0.667, 0.333, 0.500)
Cd (0.802, 0.000, 0.250)
Cd (0.802, 0.802, 0.750)

=====

No. 7
This record from Alexandria via LeMat-Bulk describes a PBEsol-optimized structure of KCa2Mn. The functional is meta-GGA SCAN.

Output
The calculation puts the formation energy at 282 meV/atom.

a = 3.987 Å, b = 3.987 Å, c = 9.449 Å
α = 90.00°, β = 90.00°, γ = 90.00°
Fractional positions:
K (0.000, 0.000, 0.000)
Ca (0.000, 0.000, 0.400)
Ca (0.500, 0.500, 0.652)
Mn (0.500, 0.500, 0.269)

=====

No. 8
This record from Alexandria via LeMat-Bulk describes a PBEsol-optimized structure of CuNi2W. The functional is meta-GGA SCAN.

Output
The calculation puts the formation energy at 47 meV/atom.

a = 2.645 Å, b = 2.645 Å, c = 6.772 Å
α = 90.00°, β = 90.00°, γ = 90.00°
Fractional positions:
Cu (0.000, 0.000, 0.000)
Ni (0.500, 0.500, 0.237)
Ni (0.500, 0.500, 0.763)
W (0.000, 0.000, 0.500)

=====

No. 9
This record from Alexandria via LeMat-Bulk describes a PBEsol-optimized structure of Zn3TeRu. The functional is meta-GGA SCAN.

Output
Its formation energy without anion corrections is 0.6559 eV/atom.

a = 4.722 Å, b = 4.722 Å, c = 4.722 Å
α = 90.00°, β = 90.00°, γ = 90.00°
Fractional positions:
Zn (0.000, 0.000, 0.500)
Zn (0.000, 0.500, 0.000)
Zn (0.500, 0.000, 0.000)
Te (0.500, 0.500, 0.500)
Ru (0.000, 0.000, 0.000)

=====

No. 10
This record from Alexandria via LeMat-Bulk describes a PBEsol-optimized structure of TaTlCl2. The functional is meta-GGA SCAN.

Output
Its formation energy without anion corrections is 0.3462 eV/atom.

a = 5.199 Å, b = 5.199 Å, c = 3.124 Å
α = 90.00°, β = 90.00°, γ = 90.00°
Fractional positions:
Ta (0.000, 0.000, 0.000)
Tl (0.500, 0.500, 0.000)
Cl (0.000, 0.500, 0.500)
Cl (0.500, 0.000, 0.500)

=====

No. 11
This record from Alexandria via LeMat-Bulk describes a PBEsol-optimized structure of ZrReTc3. The functional is meta-GGA SCAN.

Output
The calculation puts the formation energy at 1086 meV/atom.

a = 4.599 Å, b = 4.599 Å, c = 4.599 Å
α = 90.00°, β = 90.00°, γ = 90.00°
Fractional positions:
Zr (0.000, 0.000, 0.000)
Re (0.500, 0.500, 0.500)
Tc (0.000, 0.500, 0.500)
Tc (0.500, 0.000, 0.500)
Tc (0.500, 0.500, 0.000)

=====

No. 12
This record from Alexandria via LeMat-Bulk describes a PBEsol-optimized structure of Sr3ScGa. The functional is meta-GGA SCAN.

Output
The calculation puts the formation energy at 824 meV/atom.

a = 6.135 Å, b = 6.135 Å, c = 6.135 Å
α = 90.00°, β = 90.00°, γ = 90.00°
Fractional positions:
Sr (0.000, 0.000, 0.500)
Sr (0.000, 0.500, 0.000)
Sr (0.500, 0.000, 0.000)
Sc (0.000, 0.000, 0.000)
Ga (0.500, 0.500, 0.500)

=====

No. 13
This record from Alexandria via LeMat-Bulk describes a PBEsol-optimized structure of CaLaY2. The functional is meta-GGA SCAN.

Output
The calculation puts the formation energy at 75 meV/atom.

a = 3.611 Å, b = 3.611 Å, c = 35.687 Å
α = 90.00°, β = 90.00°, γ = 120.00°
Fractional positions:
Ca (0.000, 0.000, 0.000)
Ca (0.333, 0.667, 0.667)
Ca (0.667, 0.333, 0.333)
La (0.000, 0.000, 0.500)
La (0.333, 0.667, 0.167)
La (0.667, 0.333, 0.833)
Y (0.000, 0.000, 0.247)
Y (0.000, 0.000, 0.753)
Y (0.333, 0.667, 0.420)
Y (0.333, 0.667, 0.913)
Y (0.667, 0.333, 0.087)
Y (0.667, 0.333, 0.580)

=====

No. 14
This record from Alexandria via LeMat-Bulk describes a PBEsol-optimized structure of RbHgF2. The functional is meta-GGA SCAN.

Output
Its formation energy without anion corrections is -1.4216 eV/atom.

a = 4.005 Å, b = 4.005 Å, c = 21.421 Å
α = 90.00°, β = 90.00°, γ = 120.00°
Fractional positions:
Rb (0.000, 0.000, 0.000)
Rb (0.333, 0.667, 0.667)
Rb (0.667, 0.333, 0.333)
Hg (0.000, 0.000, 0.500)
Hg (0.333, 0.667, 0.167)
Hg (0.667, 0.333, 0.833)
F (0.000, 0.000, 0.117)
F (0.000, 0.000, 0.883)
F (0.333, 0.667, 0.550)
F (0.333, 0.667, 0.783)
F (0.667, 0.333, 0.217)
F (0.667, 0.333, 0.450)

=====

No. 15
This record from Alexandria via LeMat-Bulk describes a PBEsol-optimized structure of ErInCu. The functional is meta-GGA SCAN.

Output
The calculation puts the formation energy at -527 meV/atom.

a = 7.395 Å, b = 7.395 Å, c = 3.738 Å
α = 90.00°, β = 90.00°, γ = 120.00°
Fractional positions:
Er (0.000, 0.592, 0.000)
Er (0.408, 0.408, 0.000)
Er (0.592, 0.000, 0.000)
In (0.000, 0.259, 0.500)
In (0.259, 0.000, 0.500)
In (0.741, 0.741, 0.500)
Cu (0.000, 0.000, 0.000)
Cu (0.333, 0.667, 0.500)
Cu (0.667, 0.333, 0.500)

=====

No. 16
This record from Alexandria via LeMat-Bulk describes a PBEsol-optimized structure of CrAuN2. The functional is meta-GGA SCAN.

Output
Its formation energy without anion corrections is 0.0381 eV/atom.

a = 2.766 Å, b = 2.766 Å, c = 18.910 Å
α = 90.00°, β = 90.00°, γ = 120.00°
Fractional positions:
Cr (0.000, 0.000, 0.000)
Cr (0.333, 0.667, 0.667)
Cr (0.667, 0.333, 0.333)
Au (0.000, 0.000, 0.500)
Au (0.333, 0.667, 0.167)
Au (0.667, 0.333, 0.833)
N (0.000, 0.000, 0.392)
N (0.000, 0.000, 0.608)
N (0.333, 0.667, 0.059)
N (0.333, 0.667, 0.275)
N (0.667, 0.333, 0.725)
N (0.667, 0.333, 0.941)

=====

No. 17
This record from Alexandria via LeMat-Bulk describes a PBEsol-optimized structure of UBr4. The functional is meta-GGA SCAN.

Output
Its formation energy without anion corrections is -1.4336 eV/atom.

a = 6.983 Å, b = 6.983 Å, c = 7.281 Å
α = 92.76°, β = 92.76°, γ = 77.11°
Fractional positions:
U (0.196, 0.196, 0.441)
U (0.804, 0.804, 0.559)
Br (0.050, 0.050, 0.744)
Br (0.175, 0.554, 0.654)
Br (0.327, 0.327, 0.149)
Br (0.446, 0.825, 0.346)
Br (0.554, 0.175, 0.654)
Br (0.673, 0.673, 0.851)
Br (0.825, 0.446, 0.346)
Br (0.950, 0.950, 0.256)

=====

No. 18
This record from Alexandria via LeMat-Bulk describes a PBEsol-optimized structure of CsLa2Pb. The functional is meta-GGA SCAN.

Output
The calculation puts the formation energy at -142 meV/atom.

a = 7.987 Å, b = 7.987 Å, c = 7.987 Å
α = 90.00°, β = 90.00°, γ = 90.00°
Fractional positions:
Cs (0.000, 0.000, 0.000)
Cs (0.000, 0.500, 0.500)
Cs (0.500, 0.000, 0.500)
Cs (0.500, 0.500, 0.000)
La (0.250, 0.250, 0.250)
La (0.250, 0.250, 0.750)
La (0.250, 0.750, 0.250)
La (0.250, 0.750, 0.750)
La (0.750, 0.250, 0.250)
La (0.750, 0.250, 0.750)
La (0.750, 0.750, 0.250)
La (0.750, 0.750, 0.750)
Pb (0.000, 0.000, 0.500)
Pb (0.000, 0.500, 0.000)
Pb (0.500, 0.000, 0.000)
Pb (0.500, 0.500, 0.500)

=====

No. 19
This record from Alexandria via LeMat-Bulk describes a PBEsol-optimized structure of Li4V11O22. The functional is meta-GGA SCAN.

Output
Its formation energy without anion corrections is -2.5347 eV/atom.

a = 4.936 Å, b = 8.640 Å, c = 10.016 Å
α = 115.52°, β = 94.51°, γ = 95.49°
Fractional positions:
Li (0.000, 0.000, 0.000)
Li (0.093, 0.386, 0.192)
Li (0.211, 0.770, 0.381)
Li (0.807, 0.300, 0.654)
V (0.000, 0.527, 0.515)
V (0.087, 0.887, 0.688)
V (0.196, 0.256, 0.872)
V (0.280, 0.615, 0.040)
V (0.383, 0.985, 0.237)
V (0.467, 0.337, 0.409)
V (0.561, 0.703, 0.607)
V (0.631, 0.057, 0.781)
V (0.717, 0.429, 0.975)
V (0.808, 0.789, 0.151)
V (0.904, 0.155, 0.333)
O (0.036, 0.450, 0.869)
O (0.053, 0.954, 0.329)
O (0.135, 0.320, 0.508)
O (0.140, 0.819, 0.056)
O (0.224, 0.180, 0.228)
O (0.231, 0.686, 0.692)
O (0.307, 0.048, 0.877)
O (0.324, 0.543, 0.415)
O (0.396, 0.415, 0.066)
O (0.411, 0.900, 0.593)
O (0.485, 0.774, 0.240)
O (0.517, 0.268, 0.781)
O (0.595, 0.141, 0.431)
O (0.601, 0.630, 0.959)
O (0.679, 0.494, 0.602)
O (0.699, 0.995, 0.139)
O (0.779, 0.864, 0.792)
O (0.789, 0.359, 0.320)
O (0.869, 0.226, 0.970)
O (0.871, 0.727, 0.503)
O (0.955, 0.095, 0.693)
O (0.965, 0.591, 0.153)

=====

No. 20
This record from Alexandria via LeMat-Bulk describes a PBEsol-optimized structure of Ba2SiPb. The functional is meta-GGA SCAN.

Output
Its formation energy without anion corrections is -0.5718 eV/atom.

a = 4.465 Å, b = 5.167 Å, c = 12.292 Å
α = 90.00°, β = 90.00°, γ = 90.00°
Fractional positions:
Ba (0.000, 0.000, 0.000)
Ba (0.000, 0.500, 0.500)
Ba (0.500, 0.000, 0.277)
Ba (0.500, 0.500, 0.777)
Si (0.500, 0.000, 0.564)
Si (0.500, 0.500, 0.064)
Pb (0.000, 0.000, 0.703)
Pb (0.000, 0.500, 0.203)

=====

No. 21
This record from Alexandria via LeMat-Bulk describes a PBEsol-optimized structure of K2FeH. The functional is meta-GGA SCAN.

a = 7.742 Å, b = 7.742 Å, c = 7.742 Å
α = 90.00°, β = 90.00°, γ = 90.00°
Fractional positions:
K (0.250, 0.250, 0.250)
K (0.250, 0.250, 0.750)
K (0.250, 0.750, 0.250)
K (0.250, 0.750, 0.750)
K (0.750, 0.250, 0.250)
K (0.750, 0.250, 0.750)
K (0.750, 0.750, 0.250)
K (0.750, 0.750, 0.750)
Fe (0.000, 0.000, 0.000)
Fe (0.000, 0.500, 0.500)
Fe (0.500, 0.000, 0.500)
Fe (0.500, 0.500, 0.000)
H (0.000, 0.000, 0.500)
H (0.000, 0.500, 0.000)
H (0.500, 0.000, 0.000)
H (0.500, 0.500, 0.500)

=====

No. 22
This record from Alexandria via LeMat-Bulk describes a PBEsol-optimized structure of CoSiAs4. The functional is meta-GGA SCAN.

Output
Its formation energy without anion corrections is 0.8433 eV/atom.

a = 5.367 Å, b = 5.367 Å, c = 5.367 Å
α = 60.00°, β = 60.00°, γ = 60.00°
Fractional positions:
Co (0.000, 0.000, 0.000)
Si (0.250, 0.250, 0.250)
As (0.126, 0.625, 0.625)
As (0.625, 0.126, 0.625)
As (0.625, 0.625, 0.126)
As (0.625, 0.625, 0.625)

=====

No. 23
This record from Alexandria via LeMat-Bulk describes a PBEsol-optimized structure of ReTcHg2. The functional is meta-GGA SCAN.

Output
The calculation puts the formation energy at 831 meV/atom.

a = 2.872 Å, b = 2.872 Å, c = 28.036 Å
α = 90.00°, β = 90.00°, γ = 120.00°
Fractional positions:
Re (0.000, 0.000, 0.000)
Re (0.333, 0.667, 0.667)
Re (0.667, 0.333, 0.333)
Tc (0.000, 0.000, 0.500)
Tc (0.333, 0.667, 0.167)
Tc (0.667, 0.333, 0.833)
Hg (0.000, 0.000, 0.249)
Hg (0.000, 0.000, 0.751)
Hg (0.333, 0.667, 0.417)
Hg (0.333, 0.667, 0.916)
Hg (0.667, 0.333, 0.084)
Hg (0.667, 0.333, 0.583)

=====

No. 24
This record from Alexandria via LeMat-Bulk describes a PBEsol-optimized structure of CrCuPd3. The functional is meta-GGA SCAN.

Output
The calculation puts the formation energy at 732 meV/atom.

a = 4.471 Å, b = 4.471 Å, c = 4.471 Å
α = 90.00°, β = 90.00°, γ = 90.00°
Fractional positions:
Cr (0.000, 0.000, 0.000)
Cu (0.500, 0.500, 0.500)
Pd (0.000, 0.500, 0.500)
Pd (0.500, 0.000, 0.500)
Pd (0.500, 0.500, 0.000)

=====

No. 25
This record from Alexandria via LeMat-Bulk describes a PBEsol-optimized structure of Ta2HO2. The functional is meta-GGA SCAN.

a = 6.009 Å, b = 6.009 Å, c = 2.752 Å
α = 90.00°, β = 90.00°, γ = 90.00°
Fractional positions:
Ta (0.172, 0.328, 0.000)
Ta (0.328, 0.828, 0.000)
Ta (0.672, 0.172, 0.000)
Ta (0.828, 0.672, 0.000)
H (0.000, 0.000, 0.000)
H (0.500, 0.500, 0.000)
O (0.134, 0.634, 0.500)
O (0.366, 0.134, 0.500)
O (0.634, 0.866, 0.500)
O (0.866, 0.366, 0.500)

=====

In eV per atom, the E values for the records above are, in order, -31.98 -40.91 -26.55 -26.62 -56.34 -46.03 -11.20 -29.26 -21.87 -38.38 -40.31 -18.66 -27.04 -25.42 -33.50 -26.49 -37.71 -50.09 -11.70 -41.80 -8.67 -17.17 -59.79 -25.65 -30.62.